Compound: VPd2
Source: the Alexandria database
Functional: PBE
Structure: optimized geometry

Calculated values
E_form   -0.17 eV per atom
Crystal system   monoclinic

Unit cell a=2.773 b=2.771 c=6.823 alpha=90.00 beta=78.18 gamma=60.03
Fractional coordinates of all 3 atoms:
Pd1 0.073 0.205 0.674
V1 0.528 0.978 0.992
Pd2 0.983 0.750 0.310



Compound: Al2ZnIn
Source: the Alexandria database
Functional: PBE
Structure: optimized geometry

Calculated values
E_form   0.16 eV per atom
Crystal system   tetragonal

Unit cell a=5.248 b=5.248 c=5.248 alpha=133.08 beta=133.08 gamma=68.52
Fractional coordinates of all 4 atoms:
Al1 0.250 0.750 0.500
Al2 0.000 0.000 0.000
In1 0.500 0.500 0.000
Zn1 0.750 0.250 0.500



Compound: La6Sm2Tm3Mg
Source: the Alexandria database
Functional: PBE
Structure: optimized geometry

Calculated values
E_form   0.02 eV per atom
Crystal system   monoclinic

Unit cell a=6.291 b=6.291 c=11.887 alpha=95.07 beta=95.07 gamma=120.04
Fractional coordinates of all 12 atoms:
Tm1 0.167 0.833 0.500
Tm2 0.833 0.167 0.500
La1 0.415 0.084 0.252
La2 0.753 0.753 0.253
La3 0.247 0.247 0.747
La4 0.084 0.415 0.252
Sm1 0.333 0.667 0.000
La5 0.916 0.585 0.748
La6 0.585 0.916 0.748
Sm2 0.667 0.333 0.000
Mg1 0.000 0.000 0.000
Tm3 0.500 0.500 0.500



Compound: Sr3In9Sn2
Source: the Alexandria database
Functional: PBE
Structure: optimized geometry

Calculated values
E_form   -0.30 eV per atom
Crystal system   orthorhombic

Unit cell a=4.896 b=9.662 c=9.662 alpha=73.24 beta=75.32 gamma=75.32
Fractional coordinates of all 14 atoms:
In1 0.852 0.425 0.871
In2 0.148 0.129 0.575
In3 0.148 0.575 0.129
In4 0.339 0.286 0.036
In5 0.661 0.714 0.964
Sn1 0.500 0.706 0.294
Sr1 0.686 0.314 0.314
In6 0.852 0.871 0.425
In7 0.661 0.964 0.714
In8 0.339 0.036 0.286
Sr2 0.000 0.000 0.000
Sn2 0.500 0.294 0.706
In9 0.000 0.500 0.500
Sr3 0.314 0.686 0.686



Compound: Dy5ErTm2Zr
Source: the Alexandria database
Functional: PBE
Structure: optimized geometry

Calculated values
E_form   0.18 eV per atom
Crystal system   orthorhombic

Unit cell a=5.472 b=10.572 c=9.890 alpha=90.00 beta=90.00 gamma=105.00
Fractional coordinates of all 18 atoms:
Tm1 0.122 0.245 0.732
Dy1 0.517 0.034 0.238
Dy2 0.016 0.032 0.010
Er1 0.401 0.802 0.441
Dy3 0.303 0.606 0.701
Dy4 0.984 0.968 0.510
Dy5 0.364 0.728 0.024
Tm2 0.892 0.784 0.809
Dy6 0.262 0.523 0.343
Dy7 0.697 0.394 0.201
Zr1 0.186 0.373 0.025
Dy8 0.636 0.272 0.524
Tm3 0.878 0.755 0.232
Tm4 0.108 0.216 0.309
Er2 0.599 0.198 0.941
Dy9 0.483 0.966 0.738
Zr2 0.814 0.627 0.525
Dy10 0.738 0.477 0.843



Compound: HfPaMn
Source: the Alexandria database
Functional: PBE
Structure: optimized geometry

Calculated values
Excess energy over the best structure of this formula in the dataset   0 meV/atom
E_form   0.04 eV per atom
Crystal system   tetragonal

Unit cell a=3.136 b=3.136 c=6.386 alpha=104.21 beta=104.21 gamma=90.00
Fractional coordinates of all 3 atoms:
Mn1 0.671 0.671 0.342
Hf1 0.302 0.302 0.603
Pa1 0.028 0.028 0.055



Compound: UP12Ru4
Source: the Alexandria database
Functional: PBE
Structure: optimized geometry

Calculated values
E_form   -0.59 eV per atom
Crystal system   cubic

Unit cell a=6.991 b=6.991 c=6.991 alpha=109.47 beta=109.47 gamma=109.47
Fractional coordinates of all 17 atoms:
Ru1 0.000 0.500 0.000
Ru2 0.500 0.500 0.500
Ru3 0.500 0.000 0.000
P1 0.789 0.144 0.646
P2 0.646 0.502 0.856
P3 0.354 0.498 0.144
Ru4 0.000 0.000 0.500
P4 0.144 0.354 0.498
U1 0.000 0.000 0.000
P5 0.144 0.646 0.789
P6 0.502 0.856 0.646
P7 0.856 0.354 0.211
P8 0.498 0.144 0.354
P9 0.646 0.789 0.144
P10 0.856 0.646 0.502
P11 0.354 0.211 0.856
P12 0.211 0.856 0.354



Compound: InBIr2Pd
Source: the Alexandria database
Functional: PBE
Structure: optimized geometry

Calculated values
Excess energy over the best structure of this formula in the dataset   0 meV/atom
E_form   -0.18 eV per atom
Crystal system   tetragonal

Unit cell a=4.168 b=4.168 c=4.258 alpha=90.00 beta=90.00 gamma=90.00
Fractional coordinates of all 5 atoms:
In1 0.500 0.500 0.500
B1 0.000 0.000 0.000
Ir1 0.000 0.500 0.000
Pd1 0.000 0.000 0.500
Ir2 0.500 0.000 0.000



Compound: ScFe2Ni
Source: the Alexandria database
Functional: PBE
Structure: optimized geometry

Calculated values
E_form   0.04 eV per atom
Crystal system   monoclinic

Unit cell a=4.241 b=2.702 c=4.869 alpha=77.62 beta=90.00 gamma=90.00
Fractional coordinates of all 4 atoms:
Sc1 0.500 0.750 0.750
Fe1 0.000 0.036 0.013
Ni1 0.500 0.250 0.250
Fe2 0.000 0.464 0.487



Compound: CuHg5
Source: the Alexandria database
Functional: PBE
Structure: optimized geometry

Calculated values
Excess energy over the best structure of this formula in the dataset   48 meV/atom
E_form   0.15 eV per atom
Crystal system   hexagonal

Unit cell a=7.830 b=7.830 c=3.059 alpha=90.00 beta=90.00 gamma=120.00
Fractional coordinates of all 6 atoms:
Hg1 0.000 0.717 0.000
Hg2 0.283 0.283 0.000
Hg3 0.717 0.000 0.000
Hg4 0.667 0.333 0.500
Cu1 0.000 0.000 0.500
Hg5 0.333 0.667 0.500



Compound: NbCu2Pb3O8
Source: the Alexandria database
Functional: PBE
Structure: optimized geometry

Calculated values
VASP energy   -83.9 eV for the cell shown
Crystal system   trigonal

Unit cell a=5.742 b=5.742 c=7.275 alpha=90.00 beta=90.00 gamma=120.00
Fractional coordinates of all 14 atoms:
O1 0.840 0.679 0.669
Pb1 0.667 0.333 0.345
O2 0.840 0.160 0.669
Nb1 0.000 0.000 0.500
Pb2 0.333 0.667 0.655
Cu1 0.667 0.333 0.796
O3 0.160 0.321 0.331
O4 0.333 0.667 0.957
O5 0.679 0.840 0.331
Cu2 0.333 0.667 0.204
O6 0.321 0.160 0.669
Pb3 0.000 0.000 0.000
O7 0.667 0.333 0.043
O8 0.160 0.840 0.331



Compound: Cu3P
Source: the Alexandria database
Functional: PBE
Structure: optimized geometry

Calculated values
E_form   0.10 eV per atom
Crystal system   cubic

Unit cell a=4.630 b=4.630 c=4.630 alpha=90.00 beta=90.00 gamma=90.00
Fractional coordinates of all 8 atoms:
P1 0.500 0.500 0.500
Cu1 0.750 0.500 0.000
Cu2 0.250 0.500 0.000
Cu3 0.000 0.750 0.500
Cu4 0.500 0.000 0.750
Cu5 0.000 0.250 0.500
P2 0.000 0.000 0.000
Cu6 0.500 0.000 0.250



Compound: Er4Al3Cd
Source: the Alexandria database
Functional: PBE
Structure: optimized geometry

Calculated values
Excess energy over the best structure of this formula in the dataset   36 meV/atom
E_form   -0.34 eV per atom
Crystal system   orthorhombic

Unit cell a=3.649 b=4.555 c=11.695 alpha=90.00 beta=90.00 gamma=90.00
Fractional coordinates of all 8 atoms:
Er1 0.000 0.000 0.161
Al1 0.000 0.500 0.569
Er2 0.500 0.500 0.347
Al2 0.000 0.000 0.433
Er3 0.000 0.500 0.838
Al3 0.500 0.000 0.927
Er4 0.500 0.000 0.657
Cd1 0.500 0.500 0.069



Compound: AcErCo2
Source: the Alexandria database
Functional: PBE
Structure: optimized geometry

Calculated values
E_form   0.06 eV per atom
Crystal system   tetragonal

Unit cell a=3.485 b=3.485 c=6.948 alpha=90.00 beta=90.00 gamma=90.00
Fractional coordinates of all 4 atoms:
Co1 0.000 0.000 0.219
Ac1 0.500 0.500 0.500
Co2 0.000 0.000 0.781
Er1 0.500 0.500 0.000



Compound: TlBSe2
Source: the Alexandria database
Functional: PBE
Structure: optimized geometry

Calculated values
VASP energy   -11.7 eV for the cell shown
Crystal system   cubic

Unit cell a=4.924 b=4.924 c=4.924 alpha=60.00 beta=60.00 gamma=60.00
Fractional coordinates of all 4 atoms:
Se1 0.750 0.750 0.750
Se2 0.250 0.250 0.250
Tl1 0.500 0.500 0.500
B1 0.000 0.000 0.000



Compound: In3Ag2Au7
Source: the Alexandria database
Functional: PBE
Structure: optimized geometry

Calculated values
Excess energy over the best structure of this formula in the dataset   32 meV/atom
E_form   -0.01 eV per atom
Crystal system   monoclinic

Unit cell a=3.818 b=4.190 c=15.952 alpha=89.72 beta=90.00 gamma=90.00
Fractional coordinates of all 12 atoms:
Au1 0.500 0.975 0.849
Au2 0.000 0.000 0.000
Au3 0.500 0.761 0.438
In1 0.000 0.247 0.395
In2 0.000 0.753 0.605
In3 0.500 0.500 0.000
Au4 0.000 0.475 0.855
Ag1 0.500 0.518 0.276
Ag2 0.500 0.482 0.724
Au5 0.000 0.525 0.145
Au6 0.500 0.025 0.151
Au7 0.500 0.239 0.562



Compound: Sm4Ho6Th
Source: the Alexandria database
Functional: PBE
Structure: optimized geometry

Calculated values
Excess energy over the best structure of this formula in the dataset   335 meV/atom
E_form   0.47 eV per atom
Crystal system   tetragonal

Unit cell a=7.642 b=7.642 c=8.484 alpha=116.77 beta=116.77 gamma=90.00
Fractional coordinates of all 11 atoms:
Sm1 0.100 0.749 0.849
Ho1 0.559 0.559 0.636
Ho2 0.078 0.078 0.636
Ho3 0.000 0.500 0.000
Sm2 0.251 0.251 0.151
Ho4 0.500 0.000 0.000
Th1 0.500 0.500 0.000
Ho5 0.922 0.441 0.364
Ho6 0.441 0.922 0.364
Sm3 0.900 0.900 0.151
Sm4 0.749 0.100 0.849



Compound: YErGaHg
Source: the Alexandria database
Functional: PBE
Structure: optimized geometry

Calculated values
E_form   -0.52 eV per atom
Crystal system   cubic

Unit cell a=5.161 b=5.161 c=5.161 alpha=60.00 beta=60.00 gamma=60.00
Fractional coordinates of all 4 atoms:
Er1 0.250 0.250 0.250
Y1 0.750 0.750 0.750
Hg1 0.000 0.000 0.000
Ga1 0.500 0.500 0.500



Compound: BPt2WSe
Source: the Alexandria database
Functional: PBE
Structure: optimized geometry

Calculated values
VASP energy   -31.3 eV for the cell shown
Crystal system   tetragonal

Unit cell a=4.120 b=4.708 c=4.120 alpha=90.00 beta=90.00 gamma=90.00
Fractional coordinates of all 5 atoms:
W1 0.500 0.500 0.500
Pt1 0.500 0.000 0.000
Se1 0.000 0.500 0.000
B1 0.000 0.000 0.000
Pt2 0.000 0.000 0.500



Compound: Sr2TlS2
Source: the Alexandria database
Functional: PBE
Structure: optimized geometry

Calculated values
VASP energy   -42.3 eV for the cell shown
Crystal system   tetragonal

Unit cell a=8.277 b=8.277 c=3.946 alpha=90.00 beta=90.00 gamma=90.00
Fractional coordinates of all 10 atoms:
S1 0.149 0.351 0.000
Sr1 0.656 0.844 0.500
S2 0.851 0.649 0.000
S3 0.351 0.851 0.000
Tl1 0.000 0.000 0.000
S4 0.649 0.149 0.000
Sr2 0.844 0.344 0.500
Sr3 0.156 0.656 0.500
Tl2 0.500 0.500 0.000
Sr4 0.344 0.156 0.500



Compound: Dy6InAg2
Source: the Alexandria database
Functional: PBE
Structure: optimized geometry

Calculated values
E_form   -0.22 eV per atom
Crystal system   orthorhombic

Unit cell a=8.680 b=8.680 c=8.680 alpha=107.53 beta=111.02 gamma=109.88
Fractional coordinates of all 18 atoms:
Dy1 0.545 0.727 0.818
Dy2 0.203 0.243 0.447
Dy3 0.455 0.273 0.182
Dy4 0.280 0.603 0.322
Dy5 0.797 0.243 0.040
Dy6 0.720 0.042 0.322
Ag1 0.500 0.367 0.867
Dy7 0.909 0.727 0.182
Ag2 0.645 0.000 0.645
In1 0.000 0.000 0.000
Ag3 0.500 0.633 0.133
Dy8 0.280 0.958 0.678
In2 0.000 0.500 0.500
Dy9 0.720 0.397 0.678
Dy10 0.091 0.273 0.818
Dy11 0.797 0.757 0.553
Dy12 0.203 0.757 0.960
Ag4 0.355 0.000 0.355



Compound: LiLaGe2
Source: the Alexandria database
Functional: PBE
Structure: optimized geometry

Calculated values
Excess energy over the best structure of this formula in the dataset   363 meV/atom
E_form   -0.34 eV per atom
Crystal system   tetragonal

Unit cell a=4.828 b=4.828 c=9.046 alpha=74.52 beta=74.52 gamma=90.00
Fractional coordinates of all 8 atoms:
Ge1 0.375 0.538 0.750
La1 0.750 0.250 0.500
Ge2 0.288 0.625 0.250
Ge3 0.462 0.125 0.250
Ge4 0.875 0.712 0.750
Li1 0.500 0.500 0.000
Li2 0.250 0.750 0.500
La2 0.000 0.000 0.000



Compound: K8CdHg6
Source: the Alexandria database
Functional: PBE
Structure: optimized geometry

Calculated values
E_form   -0.16 eV per atom
Crystal system   trigonal

Unit cell a=9.352 b=9.352 c=9.352 alpha=63.85 beta=63.85 gamma=63.85
Fractional coordinates of all 15 atoms:
K1 0.454 0.112 0.778
K2 0.335 0.335 0.335
Hg1 0.349 0.738 0.044
Hg2 0.262 0.956 0.651
Cd1 0.000 0.000 0.000
Hg3 0.044 0.349 0.738
K3 0.778 0.454 0.112
K4 0.222 0.546 0.888
K5 0.665 0.665 0.665
K6 0.546 0.888 0.222
Hg4 0.956 0.651 0.262
Hg5 0.738 0.044 0.349
Hg6 0.651 0.262 0.956
K7 0.112 0.778 0.454
K8 0.888 0.222 0.546